a | This record from Alexandria describes MnCdCl2 after structural relaxation. The functional is PBE.

## Properties
symmetry = Immm (71)
V = 112 Å³ per cell
D(E_F) = 0.2385 states/eV/atom
ρ = 3540 kg/m³

```
MnCdCl2
1.0
6.4604 0.0078 0.0363
5.5572 3.2947 0.0363
2.7619 0.7590 5.2777
Cl Mn Cd
2 1 1
direct
0.0920 0.0920 0.9085
0.4080 0.4080 0.5915
0.7500 0.7500 0.7500
0.2500 0.2500 0.2500
```

b | This record from Alexandria describes MnCdCl2 after structural relaxation. The functional is PBE.

## Properties
symmetry = Cmm2 (35)
V = 98 Å³ per cell
D(E_F) = 0.3036 states/eV/atom
ρ = 4024 kg/m³

```
MnCdCl2
1.0
3.4941 -0.0204 0.0000
-1.4788 3.1658 0.0000
0.0000 0.0000 8.9126
Cl Mn Cd
2 1 1
direct
0.0000 0.0000 0.9374
0.5000 0.5000 0.3264
0.0000 0.0000 0.4953
0.5000 0.5000 0.7410
```

c | This record from Alexandria describes MnCdCl2 after structural relaxation. The functional is PBE.

## Properties
symmetry = P2/m (10)
V = 115 Å³ per cell
D(E_F) = 0.2668 states/eV/atom
ρ = 3426 kg/m³

```
MnCdCl2
1.0
3.4051 0.0000 0.0000
0.0000 3.5607 -0.0117
0.0000 1.6975 9.5186
Cl Mn Cd
2 1 1
direct
0.0000 0.0817 0.0919
0.0000 0.4183 0.4081
0.5000 0.2500 0.2500
0.5000 0.7500 0.7500
```

d | This record from Alexandria describes MnCdCl2 after structural relaxation. The functional is PBE.

## Properties
symmetry = I-4m2 (119)
V = 93 Å³ per cell
D(E_F) = 0.7322 states/eV/atom
ρ = 4269 kg/m³

```
MnCdCl2
1.0
6.6350 0.0099 0.0000
4.3101 5.0444 0.0000
-5.4726 -2.5271 2.7727
Cl Mn Cd
2 1 1
direct
0.0000 0.0000 0.0000
0.2500 0.7500 0.5000
0.5000 0.5000 0.0000
0.7500 0.2500 0.5000
```

Most stable structure, least stable structure: a, d.

a | This record from Alexandria describes MnCdCl2 after structural relaxation. The functional is PBE.

## Properties
symmetry = R-3m (166)
V = 112 Å³ per cell
D(E_F) = 0.2186 states/eV/atom
ρ = 3544 kg/m³

```
MnCdCl2
1.0
10.1398 0.0541 0.0320
9.4804 3.5973 0.0320
9.4804 1.7643 3.1351
Cl Mn Cd
2 1 1
direct
0.9653 0.9653 0.9653
0.5347 0.5347 0.5347
0.2500 0.2500 0.2500
0.7500 0.7500 0.7500
```

b | This record from Alexandria describes MnCdCl2 after structural relaxation. The functional is PBE.

## Properties
symmetry = Cm (8)
V = 127 Å³ per cell
D(E_F) = 0.1446 states/eV/atom
ρ = 3121 kg/m³

```
MnCdCl2
1.0
-1.7983 -3.7595 5.0174
-3.8896 -4.5907 2.5176
1.9178 -7.0332 0.7341
Cl Mn Cd
2 1 1
direct
0.9123 0.9123 0.9468
0.9031 0.9031 0.4939
0.4718 0.4718 0.6537
0.2128 0.2128 0.4057
```

Most stable structure, least stable structure: a, b.